Density functional theory data (PBE) for an optimized crystal structure of Nd3SmY12.

```
data_Nd3SmY12
_symmetry_space_group_name_H-M 'P 4/m m m'
_symmetry_Int_Tables_number 123
_symmetry_space_group_name_Hall '-P 4 2'
_cell_length_a 5.0834
_cell_length_b 5.0834
_cell_length_c 20.3464
_cell_angle_alpha 90.00
_cell_angle_beta 90.00
_cell_angle_gamma 90.00
loop_
_atom_site_label
_atom_site_fract_x
_atom_site_fract_y
_atom_site_fract_z
Nd1 0.0000 0.0000 0.0000
Nd2 0.0000 0.0000 0.2503
Sm1 0.0000 0.0000 0.5000
Y1 0.0000 0.5000 0.1252
Y2 0.0000 0.5000 0.3756
Y3 0.5000 0.5000 0.0000
Y4 0.5000 0.5000 0.2505
Y5 0.5000 0.5000 0.5000
```

Output
As for the density: 5.2 g/cm³. The energy of formation from the pure elements is 0.34 eV per formula unit. The total DFT energy (no corrections) is -6.016 eV/atom.